1.
Nd6TlSb2Se3: optimized geometry, PBE-GGA.

Unit cell a=4.352 b=8.843 c=9.812 alpha=102.87 beta=102.81 gamma=90.00
Sites, in units of the cell vectors:
Sb: 0.166 0.333 0.333
Sb: 0.834 0.667 0.667
Se: 0.168 0.833 0.336
Se: 0.832 0.167 0.664
Se: 0.500 0.500 0.000
Nd: 0.335 0.412 0.669
Nd: 0.997 0.260 0.994
Nd: 0.003 0.740 0.006
Nd: 0.665 0.588 0.331
Nd: 0.331 0.922 0.662
Nd: 0.669 0.078 0.338
Tl: 0.500 0.000 0.000

The calculation puts the total energy at -66.0 eV/cell. The calculation puts the calculated density at 7.18 Mg/m³. As for the space group: C2/m, No. 12.



2.
Dy3YTm3: optimized geometry, PBE-GGA.

Unit cell a=6.116 b=6.116 c=14.528 alpha=77.85 beta=77.85 gamma=60.00
Sites, in units of the cell vectors:
Tm: 0.599 0.933 0.200
Tm: 0.267 0.599 0.200
Tm: 0.933 0.267 0.200
Tm: 0.067 0.733 0.800
Tm: 0.733 0.401 0.800
Tm: 0.401 0.067 0.800
Dy: 0.867 0.536 0.398
Dy: 0.536 0.199 0.398
Dy: 0.464 0.801 0.602
Dy: 0.133 0.464 0.602
Dy: 0.801 0.133 0.602
Dy: 0.199 0.867 0.398
Y: 0.333 0.333 0.000
Y: 0.667 0.667 0.000

The calculation puts the total energy at -65.3 eV/cell. The calculation puts the calculated density at 7.88 Mg/m³. As for the space group: R-3, No. 148. The energy relative to the elements comes out at 0.15 eV/atom.



3.
Hg4Se3S: optimized geometry, PBE-GGA.

Unit cell a=7.163 b=7.586 c=8.763 alpha=90.00 beta=90.00 gamma=90.00
Sites, in units of the cell vectors:
S: 0.003 0.169 0.000
S: 0.503 0.831 0.500
Hg: 0.122 0.330 0.244
Hg: 0.138 0.830 0.500
Hg: 0.622 0.670 0.744
Hg: 0.624 0.154 0.500
Hg: 0.122 0.330 0.756
Hg: 0.124 0.846 0.000
Hg: 0.622 0.670 0.256
Hg: 0.638 0.170 0.000
Se: 0.502 0.332 0.749
Se: 0.003 0.164 0.500
Se: 0.502 0.332 0.251
Se: 0.002 0.668 0.249
Se: 0.002 0.668 0.751
Se: 0.503 0.836 0.000

The calculation puts the total energy at -34.6 eV/cell. The calculation puts the calculated density at 7.47 Mg/m³. As for the space group: Pmn2_1, No. 31.



4.
SrAs2BrCl: optimized geometry, PBE-GGA.

Unit cell a=6.392 b=6.392 c=5.696 alpha=90.00 beta=90.00 gamma=90.00
Each line ends with the local moment (μB).
Sites, in units of the cell vectors:
Sr: 0.000 0.000 0.000  0.06
Cl: 0.500 0.500 0.500  -0.12
Br: 0.000 0.000 0.500  0.07
As: 0.000 0.500 0.000  0.99
As: 0.500 0.000 0.000  0.99

The calculation puts the total energy at -12.8 eV/cell. The calculation puts the calculated density at 2.52 Mg/m³. As for the space group: P4/mmm, No. 123.



5.
La2MoRu: optimized geometry, PBE-GGA.

Unit cell a=5.066 b=5.066 c=5.066 alpha=60.00 beta=60.00 gamma=60.00
Each line ends with the local moment (μB).
Sites, in units of the cell vectors:
La: 0.250 0.250 0.250  0.00
La: 0.750 0.750 0.750  0.00
Ru: 0.500 0.500 0.500  0.11
Mo: 0.000 0.000 0.000  0.74

The calculation puts the total energy at -28.3 eV/cell. The calculation puts the calculated density at 8.58 Mg/m³. As for the space group: Fm-3m, No. 225. The energy relative to the elements comes out at 0.41 eV/atom.



6.
CeURu2: optimized geometry, PBE-GGA.

Unit cell a=3.341 b=3.341 c=7.198 alpha=90.00 beta=90.00 gamma=90.00
Each line ends with the local moment (μB).
Sites, in units of the cell vectors:
Ce: 0.500 0.500 0.500  0.60
Ru: 0.000 0.000 0.209  -0.17
Ru: 0.000 0.000 0.791  -0.17
U: 0.500 0.500 0.000  1.24

The calculation puts the total energy at -36.8 eV/cell. The calculation puts the calculated density at 11.99 Mg/m³. As for the space group: P4/mmm, No. 123. The energy relative to the elements comes out at -0.25 eV/atom.



no.,spin magnetization (μB/f.u.)
1,0.000
2,0.000
3,0.000
4,4.496
5,0.940
6,1.774